Material: Mo2HO6
Method: DFT, GGA+U
State: optimized geometry

Cell and atoms, written as extended XYZ:
```
9
Lattice="3.799 -0.012 0.289 0.018 3.838 -0.048 0.762 1.721 8.676" Properties=species:S:1:pos:R:3 pbc="T T T"
H 2.454 0.769 4.049
O 2.613 3.793 3.453
O 2.768 1.911 1.598
O 3.690 1.685 8.032
O 0.909 3.834 0.980
O 1.978 1.657 5.589
Mo 2.774 3.841 1.578
O 1.826 3.605 7.500
Mo 1.836 1.682 7.298
```

Computed properties:
SG = P1
DOS(E_F) = 0.07 states/eV per atom
Total energy = -6.677 eV/atom
Offset from the most stable computed form = 0 meV/atom
Total magnetization = 0.95 Bohr magnetons per cell